# 1
Density functional theory data (PBE) for a relaxed structure of HfZr12In3.

DFT formation energy (kJ/mol of atoms): -16.62

The structure in CIF format:
```
data_HfZr12In3
_cell_length_a 4.487
_cell_length_b 4.487
_cell_length_c 17.986
_cell_angle_alpha 90.00
_cell_angle_beta 90.00
_cell_angle_gamma 90.00
_space_group_name_H-M_alt 'P 4/m m m'
_space_group_IT_number 123
_space_group_name_Hall '-P 4 2'
loop_
_atom_site_label
_atom_site_type_symbol
_atom_site_fract_x
_atom_site_fract_y
_atom_site_fract_z
_atom_site_occupancy
Hf1 Hf 0.000 0.000 0.000 1
Zr1 Zr 0.000 0.500 0.125 1
Zr2 Zr 0.000 0.500 0.376 1
Zr3 Zr 0.500 0.500 0.000 1
Zr4 Zr 0.500 0.500 0.253 1
Zr5 Zr 0.500 0.500 0.500 1
In1 In 0.000 0.000 0.251 1
In2 In 0.000 0.000 0.500 1
```


# 2
Density functional theory data (PBE) for a relaxed structure of Hf3ZrIn3.

DFT formation energy (kJ/mol of atoms): -12.63

The structure in CIF format:
```
data_Hf3ZrIn3
_cell_length_a 8.4344
_cell_length_b 8.4344
_cell_length_c 5.0534
_cell_angle_alpha 90.00
_cell_angle_beta 90.00
_cell_angle_gamma 120.00
_space_group_name_H-M_alt 'P 63/m'
_space_group_IT_number 176
_space_group_name_Hall '-P 6c'
loop_
_atom_site_label
_atom_site_type_symbol
_atom_site_fract_x
_atom_site_fract_y
_atom_site_fract_z
_atom_site_occupancy
Hf1 Hf 0.0199 0.7920 0.2500 1
Zr1 Zr 0.3333 0.6667 0.2500 1
In1 In 0.0836 0.6218 0.7500 1
```


# 3
Density functional theory data (PBE) for a relaxed structure of HfZr2In.

DFT formation energy (kJ/mol of atoms): -20.01

The structure in CIF format:
```
data_HfZr2In
_cell_length_a 4.469
_cell_length_b 4.469
_cell_length_c 4.437
_cell_angle_alpha 90.00
_cell_angle_beta 90.00
_cell_angle_gamma 90.00
_space_group_name_H-M_alt 'P 4/m m m'
_space_group_IT_number 123
_space_group_name_Hall '-P 4 2'
loop_
_atom_site_label
_atom_site_type_symbol
_atom_site_fract_x
_atom_site_fract_y
_atom_site_fract_z
_atom_site_occupancy
Hf1 Hf 0.000 0.000 0.000 1
Zr1 Zr 0.000 0.500 0.500 1
In1 In 0.500 0.500 0.000 1
```


# 4
Density functional theory data (PBE) for a relaxed structure of HfZr3In.

Excess energy over the best structure of this formula in the dataset (eV/f.u.): 5.84
DFT formation energy (kJ/mol of atoms): 109.22

The structure in CIF format:
```
data_HfZr3In
_cell_length_a 5.247
_cell_length_b 5.247
_cell_length_c 5.247
_cell_angle_alpha 90.00
_cell_angle_beta 90.00
_cell_angle_gamma 90.00
_space_group_name_H-M_alt 'P m -3 m'
_space_group_IT_number 221
_space_group_name_Hall '-P 4 2 3'
loop_
_atom_site_label
_atom_site_type_symbol
_atom_site_fract_x
_atom_site_fract_y
_atom_site_fract_z
_atom_site_occupancy
Hf1 Hf 0.000 0.000 0.000 1
Zr1 Zr 0.000 0.500 0.500 1
In1 In 0.500 0.500 0.500 1
```


# 5
Density functional theory data (PBE) for a relaxed structure of Hf7Zr2In3.

DFT formation energy (kJ/mol of atoms): -1.24

The structure in CIF format:
```
data_Hf7Zr2In3
_cell_length_a 5.571
_cell_length_b 3.129
_cell_length_c 15.539
_cell_angle_alpha 90.00
_cell_angle_beta 97.75
_cell_angle_gamma 90.00
_space_group_name_H-M_alt 'P 1 2/m 1'
_space_group_IT_number 10
_space_group_name_Hall '-P 2y'
loop_
_atom_site_label
_atom_site_type_symbol
_atom_site_fract_x
_atom_site_fract_y
_atom_site_fract_z
_atom_site_occupancy
Hf1 Hf 0.000 0.000 0.000 1
Hf2 Hf 0.234 0.500 0.171 1
Hf3 Hf 0.253 0.500 0.503 1
Hf4 Hf 0.277 0.000 0.838 1
Zr1 Zr 0.072 0.500 0.676 1
In1 In 0.445 0.000 0.342 1
In2 In 0.500 0.500 0.000 1
```


# 6
Density functional theory data (PBE) for a relaxed structure of HfZr2In.

DFT formation energy (kJ/mol of atoms): 31.94

The structure in CIF format:
```
data_HfZr2In
_cell_length_a 8.028
_cell_length_b 8.028
_cell_length_c 5.919
_cell_angle_alpha 90.00
_cell_angle_beta 90.00
_cell_angle_gamma 90.00
_space_group_name_H-M_alt 'I -4 2 d'
_space_group_IT_number 122
_space_group_name_Hall 'I -4 2bw'
loop_
_atom_site_label
_atom_site_type_symbol
_atom_site_fract_x
_atom_site_fract_y
_atom_site_fract_z
_atom_site_occupancy
Hf1 Hf 0.000 0.000 0.000 1
Zr1 Zr 0.243 0.250 0.625 1
In1 In 0.000 0.000 0.500 1
```


# 7
Density functional theory data (PBE) for a relaxed structure of Hf3ZrIn.

Excess energy over the best structure of this formula in the dataset (eV/f.u.): 5.19
DFT formation energy (kJ/mol of atoms): 118.24

The structure in CIF format:
```
data_Hf3ZrIn
_cell_length_a 5.206
_cell_length_b 5.206
_cell_length_c 5.206
_cell_angle_alpha 90.00
_cell_angle_beta 90.00
_cell_angle_gamma 90.00
_space_group_name_H-M_alt 'P m -3 m'
_space_group_IT_number 221
_space_group_name_Hall '-P 4 2 3'
loop_
_atom_site_label
_atom_site_type_symbol
_atom_site_fract_x
_atom_site_fract_y
_atom_site_fract_z
_atom_site_occupancy
Hf1 Hf 0.000 0.000 0.500 1
Zr1 Zr 0.500 0.500 0.500 1
In1 In 0.000 0.000 0.000 1
```


# 8
Density functional theory data (PBE) for a relaxed structure of Hf3Zr2In2.

Excess energy over the best structure of this formula in the dataset (eV/f.u.): 0.92
DFT formation energy (kJ/mol of atoms): -2.95

The structure in CIF format:
```
data_Hf3Zr2In2
_cell_length_a 4.759
_cell_length_b 21.252
_cell_length_c 3.092
_cell_angle_alpha 90.00
_cell_angle_beta 90.00
_cell_angle_gamma 90.00
_space_group_name_H-M_alt 'C m m m'
_space_group_IT_number 65
_space_group_name_Hall '-C 2 2'
loop_
_atom_site_label
_atom_site_type_symbol
_atom_site_fract_x
_atom_site_fract_y
_atom_site_fract_z
_atom_site_occupancy
Hf1 Hf 0.000 0.000 0.000 1
Hf2 Hf 0.000 0.144 0.000 1
Zr1 Zr 0.000 0.278 0.500 1
In1 In 0.000 0.426 0.500 1
```


# 9
Density functional theory data (PBE) for a relaxed structure of Hf5ZrIn6.

DFT formation energy (kJ/mol of atoms): -17.55

The structure in CIF format:
```
data_Hf5ZrIn6
_cell_length_a 4.426
_cell_length_b 8.901
_cell_length_c 13.248
_cell_angle_alpha 90.00
_cell_angle_beta 90.00
_cell_angle_gamma 90.00
_space_group_name_H-M_alt 'I m m m'
_space_group_IT_number 71
_space_group_name_Hall '-I 2 2'
loop_
_atom_site_label
_atom_site_type_symbol
_atom_site_fract_x
_atom_site_fract_y
_atom_site_fract_z
_atom_site_occupancy
Hf1 Hf 0.000 0.000 0.000 1
Hf2 Hf 0.000 0.000 0.332 1
Hf3 Hf 0.000 0.500 0.333 1
Zr1 Zr 0.000 0.500 0.000 1
In1 In 0.000 0.250 0.167 1
In2 In 0.000 0.250 0.500 1
```


# 10
Density functional theory data (PBE) for a relaxed structure of HfZrIn2.

Excess energy over the best structure of this formula in the dataset (eV/f.u.): 0.00
DFT formation energy (kJ/mol of atoms): -23.28

The structure in CIF format:
```
data_HfZrIn2
_cell_length_a 4.441
_cell_length_b 4.441
_cell_length_c 4.439
_cell_angle_alpha 90.00
_cell_angle_beta 90.00
_cell_angle_gamma 90.00
_space_group_name_H-M_alt 'P 4/m m m'
_space_group_IT_number 123
_space_group_name_Hall '-P 4 2'
loop_
_atom_site_label
_atom_site_type_symbol
_atom_site_fract_x
_atom_site_fract_y
_atom_site_fract_z
_atom_site_occupancy
Hf1 Hf 0.000 0.000 0.000 1
Zr1 Zr 0.500 0.500 0.000 1
In1 In 0.000 0.500 0.500 1
```


# 11
Density functional theory data (PBE) for a relaxed structure of Hf2ZrIn3.

DFT formation energy (kJ/mol of atoms): -20.55

The structure in CIF format:
```
data_Hf2ZrIn3
_cell_length_a 4.424
_cell_length_b 13.279
_cell_length_c 4.455
_cell_angle_alpha 90.00
_cell_angle_beta 90.00
_cell_angle_gamma 90.00
_space_group_name_H-M_alt 'C m m m'
_space_group_IT_number 65
_space_group_name_Hall '-C 2 2'
loop_
_atom_site_label
_atom_site_type_symbol
_atom_site_fract_x
_atom_site_fract_y
_atom_site_fract_z
_atom_site_occupancy
Hf1 Hf 0.000 0.168 0.000 1
Zr1 Zr 0.000 0.500 0.000 1
In1 In 0.000 0.000 0.500 1
In2 In 0.000 0.333 0.500 1
```


# 12
Density functional theory data (PBE) for a relaxed structure of Hf15ZrIn4.

DFT formation energy (kJ/mol of atoms): -9.75

The structure in CIF format:
```
data_Hf15ZrIn4
_cell_length_a 4.440
_cell_length_b 4.440
_cell_length_c 22.252
_cell_angle_alpha 90.00
_cell_angle_beta 90.00
_cell_angle_gamma 90.00
_space_group_name_H-M_alt 'P 4/m m m'
_space_group_IT_number 123
_space_group_name_Hall '-P 4 2'
loop_
_atom_site_label
_atom_site_type_symbol
_atom_site_fract_x
_atom_site_fract_y
_atom_site_fract_z
_atom_site_occupancy
Hf1 Hf 0.000 0.000 0.000 1
Hf2 Hf 0.000 0.000 0.204 1
Hf3 Hf 0.000 0.000 0.401 1
Hf4 Hf 0.000 0.500 0.100 1
Hf5 Hf 0.000 0.500 0.302 1
Hf6 Hf 0.000 0.500 0.500 1
Zr1 Zr 0.500 0.500 0.000 1
In1 In 0.500 0.500 0.202 1
In2 In 0.500 0.500 0.401 1
```


# 13
Density functional theory data (PBE) for a relaxed structure of Hf3ZrIn.

Excess energy over the best structure of this formula in the dataset (eV/f.u.): 4.72
DFT formation energy (kJ/mol of atoms): 109.17

The structure in CIF format:
```
data_Hf3ZrIn
_cell_length_a 5.131
_cell_length_b 5.131
_cell_length_c 5.131
_cell_angle_alpha 90.00
_cell_angle_beta 90.00
_cell_angle_gamma 90.00
_space_group_name_H-M_alt 'P m -3 m'
_space_group_IT_number 221
_space_group_name_Hall '-P 4 2 3'
loop_
_atom_site_label
_atom_site_type_symbol
_atom_site_fract_x
_atom_site_fract_y
_atom_site_fract_z
_atom_site_occupancy
Hf1 Hf 0.000 0.000 0.500 1
Zr1 Zr 0.000 0.000 0.000 1
In1 In 0.500 0.500 0.500 1
```


# 14
Density functional theory data (PBE) for a relaxed structure of Hf5Ir3.

Excess energy over the best structure of this formula in the dataset (eV/f.u.): 0.20
DFT formation energy (kJ/mol of atoms): -76.36

The structure in CIF format:
```
data_Hf5Ir3
_cell_length_a 10.460
_cell_length_b 10.460
_cell_length_c 5.686
_cell_angle_alpha 90.00
_cell_angle_beta 90.00
_cell_angle_gamma 90.00
_space_group_name_H-M_alt 'P 4/n c c'
_space_group_IT_number 130
loop_
_space_group_symop_operation_xyz
'x,y,z'
'-x,-y,-z'
'-y+1/2,x,z'
'y+1/2,-x,-z'
'-x+1/2,-y+1/2,z'
'x+1/2,y+1/2,-z'
'y,-x+1/2,z'
'-y,x+1/2,-z'
'x+1/2,-y,-z+1/2'
'-x+1/2,y,z+1/2'
'-y,-x,-z+1/2'
'y,x,z+1/2'
'-x,y+1/2,-z+1/2'
'x,-y+1/2,z+1/2'
'y+1/2,x+1/2,-z+1/2'
'-y+1/2,-x+1/2,z+1/2'
loop_
_atom_site_label
_atom_site_type_symbol
_atom_site_fract_x
_atom_site_fract_y
_atom_site_fract_z
_atom_site_occupancy
Hf1 Hf 0.039 0.163 0.155 1
Hf2 Hf 0.250 0.750 0.000 1
Ir1 Ir 0.093 0.593 0.750 1
Ir2 Ir 0.250 0.250 0.427 1
```


# 15
Density functional theory data (PBE) for a relaxed structure of HfIr.

DFT formation energy (kJ/mol of atoms): -55.77

The structure in CIF format:
```
data_HfIr
_cell_length_a 7.4291
_cell_length_b 7.4291
_cell_length_c 4.9490
_cell_angle_alpha 90.00
_cell_angle_beta 90.00
_cell_angle_gamma 120.00
_space_group_name_H-M_alt 'P 63/m'
_space_group_IT_number 176
_space_group_name_Hall '-P 6c'
loop_
_atom_site_label
_atom_site_type_symbol
_atom_site_fract_x
_atom_site_fract_y
_atom_site_fract_z
_atom_site_occupancy
Hf1 Hf 0.0833 0.3017 0.2500 1
Ir1 Ir 0.1145 0.4652 0.7500 1
```


# 16
Density functional theory data (PBE) for a relaxed structure of HfIr.

DFT formation energy (kJ/mol of atoms): 34.99

The structure in CIF format:
```
data_HfIr
_cell_length_a 7.992
_cell_length_b 7.992
_cell_length_c 7.992
_cell_angle_alpha 90.00
_cell_angle_beta 90.00
_cell_angle_gamma 90.00
_space_group_name_H-M_alt 'I -4 3 m'
_space_group_IT_number 217
_space_group_name_Hall 'I -4 2 3'
loop_
_atom_site_label
_atom_site_type_symbol
_atom_site_fract_x
_atom_site_fract_y
_atom_site_fract_z
_atom_site_occupancy
Hf1 Hf 0.186 0.186 0.186 1
Ir1 Ir 0.130 0.130 0.870 1
```


# 17
Density functional theory data (PBE) for a relaxed structure of Hf5Ir3.

Excess energy over the best structure of this formula in the dataset (eV/f.u.): 0.13
DFT formation energy (kJ/mol of atoms): -77.20

The structure in CIF format:
```
data_Hf5Ir3
_cell_length_a 7.9675
_cell_length_b 7.9675
_cell_length_c 5.5229
_cell_angle_alpha 90.00
_cell_angle_beta 90.00
_cell_angle_gamma 120.00
_space_group_name_H-M_alt 'P 63/m c m'
_space_group_IT_number 193
_space_group_name_Hall '-P 6c 2'
loop_
_atom_site_label
_atom_site_type_symbol
_atom_site_fract_x
_atom_site_fract_y
_atom_site_fract_z
_atom_site_occupancy
Hf1 Hf 0.0000 0.2404 0.2500 1
Hf2 Hf 0.3333 0.6667 0.0000 1
Ir1 Ir 0.0000 0.3984 0.7500 1
```


# 18
Density functional theory data (PBE) for a relaxed structure of HfIr.

DFT formation energy (kJ/mol of atoms): -87.23

The structure in CIF format:
```
data_HfIr
_cell_length_a 5.172
_cell_length_b 5.326
_cell_length_c 10.611
_cell_angle_alpha 90.00
_cell_angle_beta 90.00
_cell_angle_gamma 90.00
_space_group_name_H-M_alt 'P 21 21 21'
_space_group_IT_number 19
_space_group_name_Hall 'P 2ac 2ab'
loop_
_atom_site_label
_atom_site_type_symbol
_atom_site_fract_x
_atom_site_fract_y
_atom_site_fract_z
_atom_site_occupancy
Hf1 Hf 0.153 0.119 0.303 1
Hf2 Hf 0.156 0.581 0.517 1
Ir1 Ir 0.159 0.391 0.766 1
Ir2 Ir 0.171 0.079 0.555 1
```


# 19
Density functional theory data (PBE) for a relaxed structure of Hf5Ir.

DFT formation energy (kJ/mol of atoms): -20.59

The structure in CIF format:
```
data_Hf5Ir
_cell_length_a 3.283
_cell_length_b 14.904
_cell_length_c 4.961
_cell_angle_alpha 90.00
_cell_angle_beta 90.00
_cell_angle_gamma 90.00
_space_group_name_H-M_alt 'C m m m'
_space_group_IT_number 65
_space_group_name_Hall '-C 2 2'
loop_
_atom_site_label
_atom_site_type_symbol
_atom_site_fract_x
_atom_site_fract_y
_atom_site_fract_z
_atom_site_occupancy
Hf1 Hf 0.000 0.000 0.000 1
Hf2 Hf 0.000 0.155 0.500 1
Hf3 Hf 0.000 0.332 0.000 1
Ir1 Ir 0.000 0.500 0.500 1
```


# 20
Density functional theory data (PBE) for a relaxed structure of Hf3Ir.

DFT formation energy (kJ/mol of atoms): -13.88

The structure in CIF format:
```
data_Hf3Ir
_cell_length_a 3.114
_cell_length_b 3.165
_cell_length_c 8.822
_cell_angle_alpha 90.00
_cell_angle_beta 90.00
_cell_angle_gamma 90.00
_space_group_name_H-M_alt 'P m m 2'
_space_group_IT_number 25
_space_group_name_Hall 'P 2 -2'
loop_
_atom_site_label
_atom_site_type_symbol
_atom_site_fract_x
_atom_site_fract_y
_atom_site_fract_z
_atom_site_occupancy
Hf1 Hf 0.000 0.000 0.000 1
Hf2 Hf 0.000 0.500 0.328 1
Hf3 Hf 0.500 0.500 0.758 1
Ir1 Ir 0.500 0.000 0.500 1
```


# 21
Density functional theory data (PBE) for a relaxed structure of Hf4Ir.

Excess energy over the best structure of this formula in the dataset (eV/f.u.): 0.00
DFT formation energy (kJ/mol of atoms): -23.74

The structure in CIF format:
```
data_Hf4Ir
_cell_length_a 10.767
_cell_length_b 13.147
_cell_length_c 5.924
_cell_angle_alpha 90.00
_cell_angle_beta 90.00
_cell_angle_gamma 90.00
_space_group_name_H-M_alt 'F d d 2'
_space_group_IT_number 43
_space_group_name_Hall 'F 2 -2d'
loop_
_atom_site_label
_atom_site_type_symbol
_atom_site_fract_x
_atom_site_fract_y
_atom_site_fract_z
_atom_site_occupancy
Hf1 Hf 0.073 0.392 0.000 1
Hf2 Hf 0.079 0.307 0.478 1
Ir1 Ir 0.000 0.000 0.895 1
```


# 22
Density functional theory data (PBE) for a relaxed structure of HfIr.

DFT formation energy (kJ/mol of atoms): -90.50

The structure in CIF format:
```
data_HfIr
_cell_length_a 3.130
_cell_length_b 4.542
_cell_length_c 5.129
_cell_angle_alpha 90.00
_cell_angle_beta 100.32
_cell_angle_gamma 90.00
_space_group_name_H-M_alt 'P 1 21/m 1'
_space_group_IT_number 11
_space_group_name_Hall '-P 2yb'
loop_
_atom_site_label
_atom_site_type_symbol
_atom_site_fract_x
_atom_site_fract_y
_atom_site_fract_z
_atom_site_occupancy
Hf1 Hf 0.093 0.250 0.281 1
Ir1 Ir 0.437 0.250 0.809 1
```